Below is a geometry-optimized ErTm2Al9 structure, with properties calculated at the PBE level.

The calculation puts the formation energy from the elements at -0.412 eV per atom.

a = 4.2271 Å, b = 4.2271 Å, c = 12.6829 Å
α = 90.00°, β = 90.00°, γ = 90.00°
Positions (direct):
Er  0.0000  0.0000  0.0000
Tm  0.0000  0.0000  0.3336
Tm  0.0000  0.0000  0.6664
Al  0.0000  0.5000  0.1672
Al  0.0000  0.5000  0.5000
Al  0.0000  0.5000  0.8328
Al  0.5000  0.0000  0.1672
Al  0.5000  0.0000  0.5000
Al  0.5000  0.0000  0.8328
Al  0.5000  0.5000  0.0000
Al  0.5000  0.5000  0.3334
Al  0.5000  0.5000  0.6666